(1)
A plane-wave DFT calculation with GGA-PBE was carried out for a relaxed structure of Mg2BeRu2.

Properties
**Crystal system**: tetragonal
**Distance to the lowest polymorph of the same formula**: 0 meV/atom
**Total magnetization**: 0.3 μB/f.u.

Cell lengths 5.933, 5.933, 4.350 Å; angles 90.00, 90.00, 90.00 degrees
Each line ends with the local moment (μB).
Fractional coordinates of all 10 atoms:
Be: 0.500 0.500 0.000  -0.01
Be: 0.000 0.000 0.000  -0.01
Ru: 0.145 0.355 0.000  0.14
Ru: 0.855 0.645 0.000  0.14
Ru: 0.355 0.855 0.000  0.14
Ru: 0.645 0.145 0.000  0.14
Mg: 0.831 0.331 0.500  0.00
Mg: 0.669 0.831 0.500  0.00
Mg: 0.331 0.169 0.500  0.00
Mg: 0.169 0.669 0.500  0.00

=====

(2)
A plane-wave DFT calculation with GGA-PBE was carried out for a relaxed structure of Fe2Tc.

Properties
**Crystal system**: tetragonal
**Distance to the lowest polymorph of the same formula**: 87 meV/atom
**Total magnetization**: 0.6 μB/f.u.

Cell lengths 11.408, 11.408, 11.408 Å; angles 161.73, 161.73, 25.96 degrees
Each line ends with the local moment (μB).
Fractional coordinates of all 12 atoms:
Tc: 0.919 0.919 0.000  -0.06
Tc: 0.081 0.081 0.000  -0.06
Tc: 0.331 0.831 0.500  -0.06
Tc: 0.169 0.669 0.500  -0.06
Fe: 0.420 0.420 0.000  1.95
Fe: 0.580 0.580 0.000  1.95
Fe: 0.501 0.001 0.500  -1.25
Fe: 0.670 0.170 0.500  1.95
Fe: 0.749 0.749 0.000  -1.25
Fe: 0.830 0.330 0.500  1.95
Fe: 0.251 0.251 0.000  -1.25
Fe: 0.999 0.499 0.500  -1.25

=====

(3)
A plane-wave DFT calculation with GGA-PBE was carried out for a relaxed structure of Dy11Ga9Rh4.

Properties
**Crystal system**: orthorhombic
**E_tot**: -5.1892 eV per atom
**Total magnetization**: 0.0 μB/f.u.

Cell lengths 3.627, 12.523, 12.523 Å; angles 112.50, 90.00, 90.00 degrees
Fractional coordinates of all 24 atoms:
Dy: 0.000 0.931 0.588
Dy: 0.000 0.412 0.069
Dy: 0.000 0.000 0.000
Dy: 0.000 0.588 0.931
Dy: 0.000 0.832 0.168
Dy: 0.000 0.627 0.373
Dy: 0.000 0.693 0.693
Dy: 0.000 0.069 0.412
Dy: 0.000 0.373 0.627
Dy: 0.000 0.307 0.307
Dy: 0.000 0.168 0.832
Rh: 0.500 0.757 0.554
Rh: 0.500 0.554 0.757
Rh: 0.500 0.243 0.446
Rh: 0.500 0.446 0.243
Ga: 0.500 0.837 0.370
Ga: 0.500 0.924 0.784
Ga: 0.500 0.500 0.500
Ga: 0.500 0.370 0.837
Ga: 0.500 0.630 0.163
Ga: 0.500 0.076 0.216
Ga: 0.500 0.784 0.924
Ga: 0.500 0.216 0.076
Ga: 0.500 0.163 0.630